Density functional theory data (GGA-PBE) for a geometry-optimized ZnSnSbN structure.

The space group is Cc (No. 9) and the conventional cell measures 7.9329, 7.9671 and 6.6555 Å, with angles of 90.00, 126.57 and 90.00 degrees. Symmetry generates all atoms from Zn at (0.0000, 0.0639, 0.0000), Sn at (0.0931, 0.3383, 0.4879), Sb at (0.4068, 0.1434, 0.2400) and N at (0.4309, 0.3774, 0.7467).

For the total energy, the calculation gives -4.25 eV/atom. The value obtained for the energy above the most stable polymorph in this dataset is 0.0 kJ/mol of atoms.